Record 1
Below is a relaxed Ac4PdRu2 crystal, with properties calculated at the PBE level.

ΔH_f (0 K)	-0.307	eV per atom
E above lowest polymorph	0.0	meV per atom

Lattice parameters (Å, degrees): 7.866 7.866 10.096 122.06 122.06 68.57
Fractional positions:
Ac1 0.048 0.048 0.344
Ac2 0.050 0.542 0.829
Ac3 0.442 0.457 0.661
Ac4 0.458 0.950 0.171
Ac5 0.531 0.043 0.821
Ac6 0.543 0.558 0.339
Ac7 0.952 0.952 0.656
Ac8 0.957 0.469 0.179
Pd1 0.254 0.257 0.003
Pd2 0.743 0.746 0.997
Ru1 0.003 0.517 0.507
Ru2 0.237 0.763 0.500
Ru3 0.483 0.997 0.493
Ru4 0.493 0.507 0.000

=====

Record 2
Below is a relaxed Ac12Pd2Ru5 crystal, with properties calculated at the PBE level.

ΔH_f (0 K)	-0.234	eV per atom

Lattice parameters (Å, degrees): 8.930 8.930 10.483 105.48 105.48 53.60
Fractional positions:
Ac1 0.035 0.035 0.325
Ac2 0.057 0.560 0.349
Ac3 0.124 0.618 0.005
Ac4 0.382 0.876 0.995
Ac5 0.417 0.417 0.692
Ac6 0.440 0.943 0.651
Ac7 0.560 0.057 0.349
Ac8 0.583 0.583 0.308
Ac9 0.618 0.124 0.005
Ac10 0.876 0.382 0.995
Ac11 0.943 0.440 0.651
Ac12 0.965 0.965 0.675
Pd1 0.308 0.692 0.500
Pd2 0.692 0.308 0.500
Ru1 0.208 0.208 0.885
Ru2 0.220 0.220 0.461
Ru3 0.500 0.500 0.000
Ru4 0.780 0.780 0.539
Ru5 0.792 0.792 0.115

=====

Record 3
Below is a relaxed Ac4Pd3Ru crystal, with properties calculated at the PBE level.

ΔH_f (0 K)	-0.619	eV per atom

Lattice parameters (Å, degrees): 4.144 4.633 11.530 90.00 90.00 90.00
Fractional positions:
Ac1 0.000 0.000 0.000
Ac2 0.000 0.500 0.260
Ac3 0.500 0.000 0.476
Ac4 0.500 0.500 0.758
Pd1 0.000 0.000 0.710
Pd2 0.000 0.500 0.543
Pd3 0.500 0.500 0.038
Ru1 0.500 0.000 0.215

=====

Record 4
Below is a relaxed Ac8Pd3Ru2 crystal, with properties calculated at the PBE level.

ΔH_f (0 K)	-0.440	eV per atom

Lattice parameters (Å, degrees): 8.799 8.799 7.300 106.70 106.70 60.01
Fractional positions:
Ac1 0.108 0.623 0.237
Ac2 0.125 0.125 0.240
Ac3 0.371 0.371 0.771
Ac4 0.377 0.892 0.763
Ac5 0.623 0.108 0.237
Ac6 0.629 0.629 0.229
Ac7 0.875 0.875 0.760
Ac8 0.892 0.377 0.763
Pd1 0.000 0.000 0.500
Pd2 0.252 0.748 0.000
Pd3 0.748 0.252 0.000
Ru1 0.254 0.254 0.012
Ru2 0.746 0.746 0.988

=====

Record 5
Below is a relaxed Ac7Pd2Ru2 crystal, with properties calculated at the PBE level.

ΔH_f (0 K)	-0.155	eV per atom
E above lowest polymorph	189.6	meV per atom

Lattice parameters (Å, degrees): 7.716 7.716 7.731 93.38 93.38 104.66
Fractional positions:
Ac1 0.000 0.000 0.000
Ac2 0.051 0.446 0.737
Ac3 0.426 0.426 0.248
Ac4 0.446 0.051 0.737
Ac5 0.554 0.949 0.263
Ac6 0.574 0.574 0.752
Ac7 0.949 0.554 0.263
Pd1 0.304 0.696 0.500
Pd2 0.696 0.304 0.500
Ru1 0.272 0.272 0.919
Ru2 0.728 0.728 0.081

=====

Record 6
Below is a relaxed Ac8PdRu2 crystal, with properties calculated at the PBE level.

ΔH_f (0 K)	-0.223	eV per atom

Lattice parameters (Å, degrees): 8.411 8.411 7.233 104.10 104.10 62.14
Fractional positions:
Ac1 0.114 0.114 0.251
Ac2 0.126 0.602 0.233
Ac3 0.368 0.368 0.751
Ac4 0.398 0.874 0.767
Ac5 0.602 0.126 0.233
Ac6 0.632 0.632 0.249
Ac7 0.874 0.398 0.767
Ac8 0.886 0.886 0.749
Pd1 0.500 0.500 0.500
Ru1 0.235 0.235 0.000
Ru2 0.765 0.765 0.000

=====

Record 7
Below is a relaxed Ac3PdRu crystal, with properties calculated at the PBE level.

ΔH_f (0 K)	-0.393	eV per atom
E above lowest polymorph	0.0	meV per atom

Lattice parameters (Å, degrees): 7.979 7.979 12.153 124.04 124.04 32.26
Fractional positions:
Ac1 0.033 0.033 0.198
Ac2 0.273 0.273 0.881
Ac3 0.348 0.348 0.459
Ac4 0.652 0.652 0.541
Ac5 0.727 0.727 0.119
Ac6 0.967 0.967 0.802
Pd1 0.401 0.401 0.221
Pd2 0.599 0.599 0.779
Ru1 0.316 0.316 0.688
Ru2 0.684 0.684 0.312

=====

Record 8
Below is a relaxed Ac6Pd3Ru crystal, with properties calculated at the PBE level.

ΔH_f (0 K)	-0.531	eV per atom

Lattice parameters (Å, degrees): 7.301 8.127 13.358 90.00 122.28 90.00
Fractional positions:
Ac1 0.089 0.054 0.244
Ac2 0.089 0.446 0.744
Ac3 0.245 0.689 0.079
Ac4 0.245 0.811 0.579
Ac5 0.396 0.175 0.074
Ac6 0.396 0.325 0.574
Ac7 0.604 0.675 0.426
Ac8 0.604 0.825 0.926
Ac9 0.755 0.189 0.421
Ac10 0.755 0.311 0.921
Ac11 0.911 0.554 0.256
Ac12 0.911 0.946 0.756
Pd1 0.308 0.110 0.753
Pd2 0.308 0.390 0.253
Pd3 0.500 0.000 0.500
Pd4 0.500 0.500 0.000
Pd5 0.692 0.610 0.747
Pd6 0.692 0.890 0.247
Ru1 0.000 0.000 0.000
Ru2 0.000 0.500 0.500

=====

Record 9
Below is a relaxed Ac7Pd2Ru2 crystal, with properties calculated at the PBE level.

ΔH_f (0 K)	-0.345	eV per atom
E above lowest polymorph	0.0	meV per atom

Lattice parameters (Å, degrees): 9.827 9.827 9.827 154.83 67.84 118.17
Fractional positions:
Ac1 0.000 0.000 0.000
Ac2 0.273 0.380 0.893
Ac3 0.291 0.602 0.689
Ac4 0.487 0.380 0.107
Ac5 0.597 0.216 0.382
Ac6 0.834 0.216 0.618
Ac7 0.913 0.602 0.311
Pd1 0.143 0.900 0.242
Pd2 0.658 0.900 0.758
Ru1 0.198 0.698 0.500
Ru2 0.639 0.639 0.000

=====

Record 10
Below is a relaxed Ac5Pd2Ru crystal, with properties calculated at the PBE level.

ΔH_f (0 K)	-0.385	eV per atom

Lattice parameters (Å, degrees): 7.511 7.511 14.698 90.00 90.00 132.61
Fractional positions:
Ac1 0.056 0.944 0.621
Ac2 0.056 0.944 0.879
Ac3 0.272 0.728 0.250
Ac4 0.336 0.664 0.576
Ac5 0.336 0.664 0.924
Ac6 0.664 0.336 0.076
Ac7 0.664 0.336 0.424
Ac8 0.728 0.272 0.750
Ac9 0.944 0.056 0.121
Ac10 0.944 0.056 0.379
Pd1 0.158 0.842 0.062
Pd2 0.158 0.842 0.438
Pd3 0.842 0.158 0.562
Pd4 0.842 0.158 0.938
Ru1 0.206 0.794 0.750
Ru2 0.794 0.206 0.250

=====

Record 11
Below is a relaxed Ac8Pd2Ru3 crystal, with properties calculated at the PBE level.

ΔH_f (0 K)	-0.348	eV per atom

Lattice parameters (Å, degrees): 8.212 8.212 7.411 90.27 90.27 64.23
Fractional positions:
Ac1 0.113 0.113 0.334
Ac2 0.128 0.634 0.167
Ac3 0.366 0.872 0.833
Ac4 0.383 0.383 0.658
Ac5 0.617 0.617 0.342
Ac6 0.634 0.128 0.167
Ac7 0.872 0.366 0.833
Ac8 0.887 0.887 0.666
Pd1 0.248 0.248 0.998
Pd2 0.752 0.752 0.002
Ru1 0.000 0.000 0.000
Ru2 0.262 0.738 0.500
Ru3 0.738 0.262 0.500

=====

Record 12
Below is a relaxed AcSbPdRu crystal, with properties calculated at the PBE level.

ΔE_f (raw)	-96	kJ/mol of formula units

Lattice parameters (Å, degrees): 7.054 7.054 7.054 90.00 90.00 90.00
Fractional positions:
Ac1 0.000 0.000 0.000
Ac2 0.000 0.500 0.500
Ac3 0.500 0.000 0.500
Ac4 0.500 0.500 0.000
Sb1 0.000 0.000 0.500
Sb2 0.000 0.500 0.000
Sb3 0.500 0.000 0.000
Sb4 0.500 0.500 0.500
Pd1 0.250 0.250 0.250
Pd2 0.250 0.750 0.750
Pd3 0.750 0.250 0.750
Pd4 0.750 0.750 0.250
Ru1 0.250 0.250 0.750
Ru2 0.250 0.750 0.250
Ru3 0.750 0.250 0.250
Ru4 0.750 0.750 0.750

=====

Number 1: total DFT energy (no corrections) -84.7 eV per cell. Number 2: total DFT energy (no corrections) -110.5 eV per cell. Number 3: total DFT energy (no corrections) -46.2 eV per cell. Number 4: total DFT energy (no corrections) -72.7 eV per cell. Number 5: total DFT energy (no corrections) -59.4 eV per cell. Number 6: total DFT energy (no corrections) -59.1 eV per cell. Number 7: total DFT energy (no corrections) -57.5 eV per cell. Number 8: total DFT energy (no corrections) -109.6 eV per cell. Number 9: total DFT energy (no corrections) -61.5 eV per cell. Number 10: total DFT energy (no corrections) -86.6 eV per cell. Number 11: total DFT energy (no corrections) -75.6 eV per cell. Number 12: total DFT energy (no corrections) -94.8 eV per cell.